No. 1
An optimized crystal structure of LaPd2Pb2. Source: Alexandria, functional PBE.

a b c (Å): 5.6740 10.6298 9.0007
angles (deg): 90.00 108.35 90.00
With the nearest neighbours (Å) after each atom.
Space group C2/c (No. 15)
Unique sites:
La 0.0000 0.1265 0.2500 [4 per cell]  2 Pd 3.09, 4 Pb 3.41-3.42
Pd 0.0000 0.1642 0.7500 [4 per cell]  4 Pb 2.80-2.93, 2 Pd 2.97, 1 La 3.09
Pd 0.0000 0.4175 0.2500 [4 per cell]  4 Pb 2.80-2.92, 2 Pd 2.97, 1 La 3.09
Pb 0.1096 0.3744 0.9723 [8 per cell]  4 Pd 2.80-2.93, 2 Pb 3.05

Properties
raw total energy = -4.92 eV/atom
DOS at the Fermi energy = 11.09 states/eV per cell
spin magnetization = 0.0 μB/cell
ΔH_f (0 K) = -1.9 eV/f.u.

No. 2
An optimized crystal structure of LaPd15Pb4. Source: Alexandria, functional PBE.

a b c (Å): 4.1413 4.1413 20.6189
angles (deg): 90.00 90.00 90.00
With the nearest neighbours (Å) after each atom.
Space group P4/mmm (No. 123)
Unique sites:
La 0.0000 0.0000 0.0000 [1 per cell]  12 Pd 2.93-2.99
Pd 0.0000 0.5000 0.1048 [4 per cell]  8 Pd 2.91-2.99, 2 Pb 2.91, 2 La 2.99
Pd 0.0000 0.5000 0.3023 [4 per cell]  4 Pb 2.90-2.91, 8 Pd 2.90-2.93
Pd 0.0000 0.5000 0.5000 [2 per cell]  4 Pb 2.90, 8 Pd 2.91-2.93
Pd 0.5000 0.5000 0.0000 [1 per cell]  4 La 2.93, 8 Pd 2.99
Pd 0.5000 0.5000 0.2038 [2 per cell]  8 Pd 2.90-2.91, 4 Pb 2.93
Pd 0.5000 0.5000 0.4011 [2 per cell]  8 Pd 2.90-2.91, 4 Pb 2.93
Pb 0.0000 0.0000 0.2039 [2 per cell]  12 Pd 2.90-2.93
Pb 0.0000 0.0000 0.4014 [2 per cell]  12 Pd 2.90-2.93

Properties
raw total energy = -5.27 eV/atom
DOS at the Fermi energy = 2.12 states/eV per cell
spin magnetization = 0.0 μB/cell
ΔH_f (0 K) = -7.8 eV/f.u.

No. 3
An optimized crystal structure of La2PmPd6Pb3. Source: Alexandria, functional PBE.

a b c (Å): 3.9968 3.9968 19.6317
angles (deg): 90.00 90.00 90.00
With the nearest neighbours (Å) after each atom.
Space group P4/mmm (No. 123)
Unique sites:
La 0.0000 0.0000 0.1829 [2 per cell]  4 Pd 2.97
Pm 0.0000 0.0000 0.5000 [1 per cell]  8 Pd 2.95
Pd 0.0000 0.5000 0.3892 [4 per cell]  2 Pb 2.79, 4 Pd 2.83, 2 Pm 2.95
Pd 0.5000 0.5000 0.1370 [2 per cell]  2 Pb 2.69-3.01, 4 La 2.97
Pb 0.5000 0.5000 0.0000 [1 per cell]  2 Pd 2.69
Pb 0.5000 0.5000 0.2903 [2 per cell]  5 Pd 2.79-3.01

Properties
raw total energy = -5.15 eV/atom
DOS at the Fermi energy = 7.78 states/eV per cell
spin magnetization = 0.0 μB/cell
ΔH_f (0 K) = -4.9 eV/f.u.

No. 4
An optimized crystal structure of LaPmPdPb. Source: Alexandria, functional PBE.

a b c (Å): 7.6490 7.6490 7.6490
angles (deg): 90.00 90.00 90.00
With the nearest neighbours (Å) after each atom.
Space group F-43m (No. 216)
Unique sites:
La 0.0000 0.0000 0.0000 [4 per cell]  4 Pb 3.31, 4 Pd 3.31
Pm 0.0000 0.0000 0.5000 [4 per cell]  4 Pd 3.31, 4 Pb 3.31
Pd 0.2500 0.2500 0.2500 [4 per cell]  4 La 3.31, 4 Pm 3.31
Pb 0.2500 0.2500 0.7500 [4 per cell]  4 Pm 3.31, 4 La 3.31

Properties
raw total energy = -5.24 eV/atom
DOS at the Fermi energy = 6.90 states/eV per cell
spin magnetization = 0.0 μB/cell
ΔH_f (0 K) = -2.4 eV/f.u.

No. 5
An optimized crystal structure of LaPuPdPb. Source: Alexandria, functional PBE.

a b c (Å): 7.5997 7.5997 7.5997
angles (deg): 90.00 90.00 90.00
With the nearest neighbours (Å) after each atom.
Space group F-43m (No. 216)
Unique sites:
La 0.0000 0.0000 0.0000 [4 per cell]  4 Pd 3.29, 4 Pb 3.29
Pu 0.0000 0.0000 0.5000 [4 per cell]  4 Pb 3.29, 4 Pd 3.29
Pd 0.2500 0.2500 0.7500 [4 per cell]  4 Pu 3.29, 4 La 3.29
Pb 0.2500 0.2500 0.2500 [4 per cell]  4 La 3.29, 4 Pu 3.29

Properties
raw total energy = -7.39 eV/atom
DOS at the Fermi energy = 52.46 states/eV per cell
spin magnetization = 21.9 μB/cell
ΔH_f (0 K) = -1.4 eV/f.u.

No. 6
An optimized crystal structure of LaPdRhPb. Source: Alexandria, functional PBE.

a b c (Å): 7.0124 7.0124 7.0124
angles (deg): 90.00 90.00 90.00
With the nearest neighbours (Å) after each atom.
Space group F-43m (No. 216)
Unique sites:
La 0.0000 0.0000 0.0000 [4 per cell]  4 Pd 3.04, 4 Rh 3.04
Pd 0.2500 0.2500 0.2500 [4 per cell]  4 Pb 3.04, 4 La 3.04
Rh 0.2500 0.2500 0.7500 [4 per cell]  4 La 3.04, 4 Pb 3.04
Pb 0.0000 0.0000 0.5000 [4 per cell]  4 Rh 3.04, 4 Pd 3.04

Properties
raw total energy = -5.82 eV/atom
DOS at the Fermi energy = 11.05 states/eV per cell
spin magnetization = 0.0 μB/cell
ΔH_f (0 K) = -2.1 eV/f.u.